## TiCrTe3 (PBE-GGA)

Data for crystalline TiCrTe3 at its relaxed geometry.

Its volume is 28.2 A^3/atom. The value obtained for the energy above the most stable polymorph in this dataset is 0.0000 eV/atom. Its total energy is -112.8 eV/cell. Its total magnetic moment is 0.811 μB/atom. As for the formation energy from raw total energies: -0.253 eV per atom.

The space group is Pnma (No. 62) and the conventional cell measures 7.333, 10.708 and 7.191 Å, with angles of 90.00, 90.00 and 90.00 degrees. The distinct sites, in fractional coordinates, are Ti at (0.000, 0.000, 0.000), Cr at (0.233, 0.250, 0.459), Te at (0.082, 0.250, 0.119) and Te at (0.163, 0.054, 0.658).